Entry 1:
# KGaRe2Cl

A relaxed structure of KGaRe2Cl (PBE-GGA, Alexandria).

Values from the calculation:
Mass density = 7.96 g cm⁻³
ΔE_f (raw) = 1.5538 eV/atom
Calculated total energy = -23.098 eV per cell

a b c (Å): 4.4295 4.4295 5.4920
angles (deg): 90.00 90.00 90.00
With the nearest neighbours (Å) after each atom.
Positions (direct):
K 0.0000 0.0000 0.0000  2 Cl 2.75
Ga 0.5000 0.5000 0.0000  4 K 3.13
Re 0.0000 0.5000 0.5000  2 Cl 2.21
Re 0.5000 0.0000 0.5000  2 Cl 2.21
Cl 0.0000 0.0000 0.5000  4 Re 2.21

---

Entry 2:
# KGaSCl2

A relaxed structure of KGaSCl2 (PBE-GGA, Alexandria).

Values from the calculation:
Energy above the lowest structure with this stoichiometry = 898 meV/atom
Mass density = 1.79 g cm⁻³
ΔE_f (raw) = -0.1059 eV/atom
Calculated total energy = -12.474 eV per cell

a b c (Å): 5.8495 5.8495 5.7506
angles (deg): 90.00 90.00 90.00
With the nearest neighbours (Å) after each atom.
Positions (direct):
K 0.0000 0.0000 0.0000  2 S 2.88, 4 Cl 2.92
Ga 0.5000 0.5000 0.5000  8 Cl 4.10, 4 S 4.14
S 0.0000 0.0000 0.5000  2 K 2.88
Cl 0.0000 0.5000 0.0000  2 K 2.92
Cl 0.5000 0.0000 0.0000  2 K 2.92

---

Entry 3:
# KGaS2Cl

A relaxed structure of KGaS2Cl (PBE-GGA, Alexandria).

Values from the calculation:
Energy above the lowest structure with this stoichiometry = 0 meV/atom
Mass density = 2.86 g cm⁻³
ΔE_f (raw) = -0.6461 eV/atom
Calculated total energy = -17.456 eV per cell

a b c (Å): 4.7090 4.7090 5.4552
angles (deg): 90.00 90.00 90.00
With the nearest neighbours (Å) after each atom.
Positions (direct):
K 0.0000 0.0000 0.0000  4 Cl 3.33, 8 S 3.60
Ga 0.5000 0.5000 0.5000  4 S 2.35
S 0.0000 0.5000 0.5000  2 Ga 2.35
S 0.5000 0.0000 0.5000  2 Ga 2.35
Cl 0.5000 0.5000 0.0000  2 Ga 2.73

---

Entry 4:
# KGaS2Cl

A relaxed structure of KGaS2Cl (PBE-GGA, Alexandria).

Values from the calculation:
Energy above the lowest structure with this stoichiometry = 1057 meV/atom
Mass density = 1.76 g cm⁻³
ΔE_f (raw) = 0.4112 eV/atom
Calculated total energy = -12.170 eV per cell

a b c (Å): 5.8463 5.8463 5.7529
angles (deg): 90.00 90.00 90.00
With the nearest neighbours (Å) after each atom.
Positions (direct):
K 0.0000 0.0000 0.0000  2 Cl 2.88, 4 S 2.92
Ga 0.5000 0.5000 0.5000  8 S 4.10, 4 Cl 4.13
S 0.0000 0.5000 0.0000  2 K 2.92
S 0.5000 0.0000 0.0000  2 K 2.92
Cl 0.0000 0.0000 0.5000  2 K 2.88

---

Entry 5:
# KGaSCl2

A relaxed structure of KGaSCl2 (PBE-GGA, Alexandria).

Values from the calculation:
Energy above the lowest structure with this stoichiometry = 0 meV/atom
Mass density = 2.87 g cm⁻³
ΔE_f (raw) = -1.0036 eV/atom
Calculated total energy = -16.963 eV per cell

a b c (Å): 5.1565 5.1565 4.6152
angles (deg): 90.00 90.00 90.00
With the nearest neighbours (Å) after each atom.
Positions (direct):
K 0.0000 0.0000 0.0000  8 Cl 3.46, 4 S 3.65
Ga 0.5000 0.5000 0.5000  2 S 2.31, 4 Cl 2.58
S 0.5000 0.5000 0.0000  2 Ga 2.31
Cl 0.0000 0.5000 0.5000  2 Ga 2.58
Cl 0.5000 0.0000 0.5000  2 Ga 2.58

---

Entry 6:
# K2GaSbCl6

A relaxed structure of K2GaSbCl6 (PBE-GGA, Alexandria).

Values from the calculation:
Mass density = 2.46 g cm⁻³
ΔE_f (raw) = -1.2987 eV/atom
Calculated total energy = -33.412 eV per cell

a b c (Å): 7.5931 7.5939 7.8545
angles (deg): 89.98 61.10 60.01
With the nearest neighbours (Å) after each atom.
Positions (direct):
K 0.0000 0.0000 0.0000  6 Cl 3.21-3.31
K 0.0118 0.4941 0.4822  6 Cl 3.18-3.28
Ga 0.4428 0.2782 0.8370  6 Cl 2.87-3.09
Sb 0.4266 0.7867 0.3598  6 Cl 2.66-2.71
Cl 0.3134 0.5651 0.6134  1 Sb 2.71, 1 Ga 2.88
Cl 0.3204 0.6466 0.1370  1 Sb 2.66
Cl 0.5082 0.9272 0.6139  1 Sb 2.71, 1 Ga 2.87
Cl 0.5095 0.0337 0.1366  1 Sb 2.67
Cl 0.8956 0.4575 0.1373  1 Sb 2.66
Cl 0.9503 0.1223 0.6140  1 Sb 2.71, 1 Ga 2.87

---

no.,V (Å³ per atom)
1,21.552
2,39.353
3,24.193
4,39.326
5,24.543
6,32.553